1.
Here is a relaxed structure of CaMnNi2 from the Alexandria database. Energies are from PBE.

abc: 3.9559 3.3385 5.4361
angles: 72.26 90.00 90.00
With the nearest neighbours (Å) after each atom.
Positions (direct):
Ca  0.0000  0.4668  0.4439  7 Ni 2.72-2.98
Ni  0.0000  0.2014  0.9687  2 Ni 2.37, 4 Mn 2.64
Ni  0.5000  0.0783  0.2201  2 Ni 2.37, 2 Mn 2.47
Mn  0.5000  0.7535  0.8673  6 Ni 2.47-2.64

Properties
- Total moment: 4.45 μB/f.u.
- E_form: 55 kJ/mol of formula units
- Total energy: -22.16 eV per cell



2.
Here is a relaxed structure of PmEr3Co from the Alexandria database. Energies are from PBE.

abc: 7.3086 7.7770 9.8866
angles: 107.31 90.00 90.00
With the nearest neighbours (Å) after each atom.
Positions (direct):
Er  0.8003  0.4105  0.4638  1 Co 2.71
Er  0.1280  0.0780  0.3895  3 Co 2.76-2.83
Er  0.9937  0.2068  0.1132  2 Co 2.70-2.77
Er  0.3003  0.5895  0.0362  1 Co 2.71
Er  0.3720  0.0780  0.8895  3 Co 2.76-2.83
Er  0.1997  0.5895  0.5362  1 Co 2.71
Er  0.5063  0.2068  0.6132  2 Co 2.70-2.77
Er  0.6280  0.9220  0.1105  3 Co 2.76-2.83
Er  0.6997  0.4105  0.9638  1 Co 2.71
Er  0.8720  0.9220  0.6105  3 Co 2.76-2.83
Er  0.4937  0.7932  0.3868  2 Co 2.70-2.77
Er  0.0063  0.7932  0.8868  2 Co 2.70-2.77
Co  0.2534  0.9505  0.6046  6 Er 2.70-2.83
Co  0.7534  0.0495  0.8954  6 Er 2.70-2.83
Co  0.2466  0.9505  0.1046  6 Er 2.70-2.83
Co  0.7466  0.0495  0.3954  6 Er 2.70-2.83
Pm  0.9430  0.6817  0.2536  1 Co 3.13, 4 Er 3.27-3.51
Pm  0.0570  0.3183  0.7464  1 Co 3.13, 4 Er 3.27-3.51
Pm  0.5570  0.6817  0.7536  1 Co 3.13, 4 Er 3.27-3.51
Pm  0.4430  0.3183  0.2464  1 Co 3.13, 4 Er 3.27-3.51

Properties
- Total moment: 0.00 μB/f.u.
- E_form: -17 kJ/mol of formula units
- Total energy: -102.88 eV per cell



3.
Here is a relaxed structure of HfMgRe2Sn from the Alexandria database. Energies are from PBE.

abc: 4.8872 5.1485 4.8872
angles: 90.00 90.00 90.00
With the nearest neighbours (Å) after each atom.
Positions (direct):
Hf  0.0000  0.5000  0.0000  2 Sn 2.57
Mg  0.5000  0.5000  0.5000  4 Hf 3.46, 8 Re 3.55
Sn  0.0000  0.0000  0.0000  4 Re 2.44, 2 Hf 2.57
Re  0.5000  0.0000  0.0000  2 Sn 2.44
Re  0.0000  0.0000  0.5000  2 Sn 2.44

Properties
- Total moment: 0.78 μB/f.u.
- E_form: 934 kJ/mol of formula units
- Total energy: -30.77 eV per cell



4.
Here is a relaxed structure of Cr2HOsPt from the Alexandria database. Energies are from PBE.

abc: 3.8421 3.8421 3.7659
angles: 90.00 90.00 90.00
With the nearest neighbours (Å) after each atom.
Positions (direct):
Cr  0.0000  0.5000  0.0000  2 H 1.92
Cr  0.5000  0.0000  0.0000  2 H 1.92
H  0.0000  0.0000  0.0000  2 Pt 1.88, 4 Cr 1.92
Pt  0.0000  0.0000  0.5000  2 H 1.88
Os  0.5000  0.5000  0.5000  8 Cr 2.69, 4 Pt 2.72

Properties
- Total moment: 1.22 μB/f.u.
- Total energy: -39.65 eV per cell



5.
Here is a relaxed structure of SrNi2Se from the Alexandria database. Energies are from PBE.

abc: 3.9940 4.4616 4.8273
angles: 90.00 90.00 90.00
With the nearest neighbours (Å) after each atom.
Positions (direct):
Ni  0.0000  0.0000  0.2579  2 Ni 2.34-2.49, 2 Se 2.35
Ni  0.0000  0.0000  0.7421  2 Ni 2.34-2.49, 2 Se 2.35
Sr  0.5000  0.5000  0.5000  8 Ni 3.21, 4 Se 3.29
Se  0.5000  0.0000  0.0000  4 Ni 2.35

Properties
- Total moment: 0.24 μB/f.u.
- Total energy: -18.27 eV per cell



6.
Here is a relaxed structure of Na5In2Sn5 from the Alexandria database. Energies are from PBE.

abc: 5.2790 6.1283 12.9085
angles: 100.42 90.00 115.51
With the nearest neighbours (Å) after each atom.
Positions (direct):
Sn  0.7788  0.5575  0.8028  2 Sn 2.94-3.16, 2 In 3.26, 1 Na 3.27
Sn  0.9072  0.8144  0.6247  1 In 2.89, 1 Sn 2.94, 3 Na 3.19-3.22
Sn  0.2212  0.4425  0.1972  2 Sn 2.94-3.16, 2 In 3.26, 1 Na 3.27
Sn  0.0928  0.1856  0.3753  1 In 2.89, 1 Sn 2.94, 3 Na 3.19-3.22
Sn  0.0000  0.0000  0.0000  2 In 2.95, 4 Na 3.13, 2 Sn 3.16
Na  0.3466  0.6932  0.9887  3 Sn 3.13-3.27, 1 In 3.17, 3 Na 3.35-3.45
Na  0.2393  0.4785  0.6147  1 In 3.13, 3 Sn 3.19-3.22, 1 Na 3.50
Na  0.5000  0.0000  0.5000  4 Sn 3.36, 2 Na 3.50
Na  0.6534  0.3068  0.0113  3 Sn 3.13-3.27, 1 In 3.17, 3 Na 3.35-3.45
Na  0.7607  0.5215  0.3853  1 In 3.13, 3 Sn 3.19-3.22, 1 Na 3.50
In  0.1063  0.2125  0.8075  2 Sn 2.89-2.95, 2 Na 3.13-3.17
In  0.8937  0.7875  0.1925  2 Sn 2.89-2.95, 2 Na 3.13-3.17

Properties
- Total moment: 0.00 μB/f.u.
- E_form: -101 kJ/mol of formula units
- Total energy: -33.13 eV per cell